Arrangement a

Compound: Ca2LaY
Source: Alexandria
Functional: PBE
Structure: relaxed

Values from the calculation:
The calculation puts the volume at 152.7 Å³/cell.

a b c (Å): 3.6408 3.6408 12.5200
angles (deg): 90.00 90.00 113.07
Last column: nearest neighbours and their distance in Å.
Fractional positions:
Y  0.5000  0.5000  0.7438  2 La 3.49, 4 Y 3.64, 2 Ca 3.66
Ca  0.5000  0.5000  0.2519  8 Ca 3.64-4.02, 2 La 3.87
Ca  0.0000  0.0000  0.9883  8 Ca 3.64-4.02, 2 Y 3.66
La  0.0000  0.0000  0.5160  2 Y 3.49, 4 La 3.64, 2 Ca 3.87

=====

Arrangement b

Compound: Ca2LaY
Source: Alexandria
Functional: PBE
Structure: relaxed

Values from the calculation:
The calculation puts the volume at 149.9 Å³/cell.

a b c (Å): 5.9229 5.9229 4.2727
angles (deg): 90.00 90.00 90.00
Last column: nearest neighbours and their distance in Å.
Fractional positions:
Ca  0.0000  0.0000  0.0000  4 La 3.65, 4 Y 3.65
Ca  0.5000  0.5000  0.0000  4 La 3.65, 4 Y 3.65
La  0.5000  0.0000  0.5000  8 Ca 3.65
Y  0.0000  0.5000  0.5000  8 Ca 3.65

=====

Arrangement c

Compound: Ca2LaY
Source: Alexandria
Functional: PBE
Structure: relaxed

Values from the calculation:
The calculation puts the volume at 150.0 Å³/cell.

a b c (Å): 12.6758 12.6758 12.6758
angles (deg): 16.89 16.89 16.89
Last column: nearest neighbours and their distance in Å.
Fractional positions:
La  0.2500  0.2500  0.2500  6 La 3.72, 6 Ca 3.85
Ca  0.0019  0.0019  0.0019  6 Ca 3.72, 3 Y 3.73, 3 La 3.85
Ca  0.4981  0.4981  0.4981  6 Ca 3.72, 3 Y 3.73, 3 La 3.85
Y  0.7500  0.7500  0.7500  6 Y 3.72, 6 Ca 3.73

=====

Stability, descending: arrangement a, arrangement c, arrangement b

=====

Arrangement a

Compound: Ca2LaY
Source: Alexandria
Functional: PBE
Structure: relaxed

Values from the calculation:
The calculation puts the volume at 150.0 Å³/cell.

a b c (Å): 3.7258 3.7258 12.6651
angles (deg): 81.54 81.54 60.00
Last column: nearest neighbours and their distance in Å.
Fractional positions:
Ca  0.0856  0.0856  0.7430  3 Y 3.72, 6 Ca 3.73, 3 La 3.86
Ca  0.2475  0.2475  0.2575  3 Y 3.71, 6 Ca 3.73, 3 La 3.87
La  0.6667  0.6667  0.9999  6 La 3.73, 6 Ca 3.86-3.87
Y  0.5002  0.5002  0.4995  6 Ca 3.71-3.72, 6 Y 3.73

=====

Arrangement b

Compound: Ca2LaY
Source: Alexandria
Functional: PBE
Structure: relaxed

Values from the calculation:
The calculation puts the volume at 152.6 Å³/cell.

a b c (Å): 3.7797 3.7797 10.6788
angles (deg): 90.00 90.00 90.00
Last column: nearest neighbours and their distance in Å.
Fractional positions:
La  0.0000  0.0000  0.5187  4 Y 3.56, 4 La 3.78, 4 Ca 3.88
Ca  0.0000  0.0000  0.9860  4 Y 3.75, 8 Ca 3.78-3.93
Ca  0.5000  0.5000  0.2557  8 Ca 3.78-3.93, 4 La 3.88
Y  0.5000  0.5000  0.7396  4 La 3.56, 4 Ca 3.75, 4 Y 3.78

=====

Arrangement c

Compound: Ca2LaY
Source: Alexandria
Functional: PBE
Structure: relaxed

Values from the calculation:
The calculation puts the volume at 150.8 Å³/cell.

a b c (Å): 5.9767 5.9767 5.9767
angles (deg): 120.08 120.08 89.87
Last column: nearest neighbours and their distance in Å.
Fractional positions:
Ca  0.0000  0.0000  0.0000  4 Ca 3.66, 4 Y 3.66
Ca  0.2500  0.7500  0.5000  4 La 3.66, 4 Ca 3.66
La  0.5000  0.5000  0.0000  4 Ca 3.66, 4 Y 3.66
Y  0.7500  0.2500  0.5000  4 Ca 3.66, 4 La 3.66

=====

Stability, descending: arrangement b, arrangement a, arrangement c

=====

Arrangement a

Compound: Ca2LaY
Source: Alexandria
Functional: PBE
Structure: relaxed

Values from the calculation:
The calculation puts the volume at 150.1 Å³/cell.

a b c (Å): 5.9654 5.9654 5.9654
angles (deg): 60.00 60.00 60.00
Last column: nearest neighbours and their distance in Å.
Fractional positions:
La  0.5000  0.5000  0.5000  8 Ca 3.65
Y  0.0000  0.0000  0.0000  8 Ca 3.65
Ca  0.7500  0.7500  0.7500  4 La 3.65, 4 Y 3.65
Ca  0.2500  0.2500  0.2500  4 La 3.65, 4 Y 3.65

=====

Arrangement b

Compound: Ca2LaY
Source: Alexandria
Functional: PBE
Structure: relaxed

Values from the calculation:
The calculation puts the volume at 149.8 Å³/cell.

a b c (Å): 6.2312 3.5968 6.7362
angles (deg): 82.79 90.00 90.00
Last column: nearest neighbours and their distance in Å.
Fractional positions:
Ca  0.0000  0.5055  0.5046  5 Ca 3.58-3.93, 2 Y 3.68, 2 La 3.73
Ca  0.0000  0.9945  0.9954  5 Ca 3.58-3.93, 2 Y 3.68, 2 La 3.73
Y  0.5000  0.7500  0.7500  2 Y 3.60, 4 La 3.61-4.01, 4 Ca 3.68
La  0.5000  0.2500  0.2500  2 La 3.60, 4 Y 3.61-4.01, 4 Ca 3.73

=====

Stability, descending: arrangement b, arrangement a

=====

Arrangement a

Compound: CaLa2Y2
Source: Alexandria
Functional: PBE
Structure: relaxed

Values from the calculation:
The calculation puts the volume at 179.4 Å³/cell.

a b c (Å): 3.6848 3.6848 15.4036
angles (deg): 83.13 83.13 60.00
Last column: nearest neighbours and their distance in Å.
Fractional positions:
La  0.5954  0.5954  0.2139  3 Y 3.61, 6 La 3.68, 3 Ca 3.90
La  0.4046  0.4046  0.7861  3 Y 3.61, 6 La 3.68, 3 Ca 3.90
Y  0.1982  0.1982  0.4053  9 Y 3.59-3.68, 3 La 3.61
Y  0.8018  0.8018  0.5947  9 Y 3.59-3.68, 3 La 3.61
Ca  0.0000  0.0000  0.0000  6 Ca 3.68, 6 La 3.90

=====

Arrangement b

Compound: CaLa2Y2
Source: Alexandria
Functional: PBE
Structure: relaxed

Values from the calculation:
The calculation puts the volume at 366.2 Å³/cell.

a b c (Å): 9.9385 9.9385 3.7076
angles (deg): 90.00 90.00 90.00
Last column: nearest neighbours and their distance in Å.
Fractional positions:
Y  0.8797  0.6203  0.0000  3 Y 3.38-3.71, 6 La 3.40-3.54
Y  0.1203  0.3797  0.0000  3 Y 3.38-3.71, 6 La 3.40-3.54
Y  0.3797  0.8797  0.0000  3 Y 3.38-3.71, 6 La 3.40-3.54
Y  0.6203  0.1203  0.0000  3 Y 3.38-3.71, 6 La 3.40-3.54
Ca  0.5000  0.5000  0.0000  2 Ca 3.71, 4 Y 3.96, 8 La 4.10
Ca  0.0000  0.0000  0.0000  2 Ca 3.71, 4 Y 3.96, 8 La 4.10
La  0.8228  0.3228  0.5000  6 Y 3.40-3.54, 2 La 3.71
La  0.3228  0.1772  0.5000  6 Y 3.40-3.54, 2 La 3.71
La  0.1772  0.6772  0.5000  6 Y 3.40-3.54, 2 La 3.71
La  0.6772  0.8228  0.5000  6 Y 3.40-3.54, 2 La 3.71

=====

Arrangement c

Compound: CaLa2Y2
Source: Alexandria
Functional: PBE
Structure: relaxed

Values from the calculation:
The calculation puts the volume at 364.7 Å³/cell.

a b c (Å): 9.7627 9.7627 3.8261
angles (deg): 90.00 90.00 90.00
Last column: nearest neighbours and their distance in Å.
Fractional positions:
La  0.1295  0.3705  0.0000  6 Y 3.37-3.51, 1 La 3.58
La  0.8705  0.6295  0.0000  6 Y 3.37-3.51, 1 La 3.58
La  0.3705  0.8705  0.0000  6 Y 3.37-3.51, 1 La 3.58
La  0.6295  0.1295  0.0000  6 Y 3.37-3.51, 1 La 3.58
Y  0.3303  0.1697  0.5000  6 La 3.37-3.51
Y  0.1697  0.6697  0.5000  6 La 3.37-3.51
Y  0.8303  0.3303  0.5000  6 La 3.37-3.51
Y  0.6697  0.8303  0.5000  6 La 3.37-3.51
Ca  0.0000  0.0000  0.0000  2 Ca 3.83, 4 La 3.83, 8 Y 4.10
Ca  0.5000  0.5000  0.0000  2 Ca 3.83, 4 La 3.83, 8 Y 4.10

=====

Stability, descending: arrangement a, arrangement b, arrangement c

=====

Arrangement a

Compound: CaLa3Y
Source: Alexandria
Functional: PBE
Structure: relaxed

Values from the calculation:
The calculation puts the volume at 203.7 Å³/cell.

a b c (Å): 5.8841 5.8841 5.8841
angles (deg): 90.00 90.00 90.00
Last column: nearest neighbours and their distance in Å.
Fractional positions:
Ca  0.0000  0.0000  0.0000  6 La 2.94
La  0.0000  0.0000  0.5000  2 Ca 2.94
La  0.5000  0.0000  0.0000  2 Ca 2.94
La  0.0000  0.5000  0.0000  2 Ca 2.94
Y  0.5000  0.5000  0.5000  12 La 4.16

=====

Arrangement b

Compound: CaLa3Y
Source: Alexandria
Functional: PBE
Structure: relaxed

Values from the calculation:
The calculation puts the volume at 217.7 Å³/cell.

a b c (Å): 6.0159 6.0159 6.0159
angles (deg): 90.00 90.00 90.00
Last column: nearest neighbours and their distance in Å.
Fractional positions:
La  0.0000  0.0000  0.5000  2 Y 3.01
La  0.0000  0.5000  0.0000  2 Y 3.01
La  0.5000  0.0000  0.0000  2 Y 3.01
Y  0.0000  0.0000  0.0000  6 La 3.01
Ca  0.5000  0.5000  0.5000  12 La 4.25

=====

Stability, descending: arrangement b, arrangement a